No. 1
Tm5Ge10Os4: PBEsol geometry, SCAN.

**Space group**: No. 127
**Energy**: -39.4723 eV/atom
**Crystal system**: tetragonal

Unit cell a=4.2148 b=12.8954 c=12.8954 alpha=90.00 beta=90.00 gamma=90.00
Element x y z (fractional)
Tm: 0.0000 0.5000 0.5000
Tm: 0.0000 0.0000 0.0000
Tm: 0.5000 0.6716 0.1716
Tm: 0.5000 0.3284 0.8284
Tm: 0.5000 0.1716 0.3284
Tm: 0.5000 0.8284 0.6716
Tm: 0.5000 0.8816 0.3816
Tm: 0.5000 0.1184 0.6184
Tm: 0.5000 0.3816 0.1184
Tm: 0.5000 0.6184 0.8816
Ge: 0.0000 0.5671 0.0671
Ge: 0.0000 0.4329 0.9329
Ge: 0.0000 0.0671 0.4329
Ge: 0.0000 0.9329 0.5671
Ge: 0.0000 0.6653 0.6976
Ge: 0.0000 0.3347 0.3024
Ge: 0.0000 0.1653 0.8024
Ge: 0.0000 0.8347 0.1976
Ge: 0.0000 0.3024 0.6653
Ge: 0.0000 0.6976 0.3347
Ge: 0.0000 0.1976 0.1653
Ge: 0.0000 0.8024 0.8347
Ge: 0.5000 0.6558 0.5075
Ge: 0.5000 0.3442 0.4925
Ge: 0.5000 0.1558 0.9925
Ge: 0.5000 0.8442 0.0075
Ge: 0.5000 0.4925 0.6558
Ge: 0.5000 0.5075 0.3442
Ge: 0.5000 0.0075 0.1558
Ge: 0.5000 0.9925 0.8442
Os: 0.0000 0.7483 0.5176
Os: 0.0000 0.2517 0.4824
Os: 0.0000 0.2483 0.9824
Os: 0.0000 0.7517 0.0176
Os: 0.0000 0.4824 0.7483
Os: 0.0000 0.5176 0.2517
Os: 0.0000 0.0176 0.2483
Os: 0.0000 0.9824 0.7517



No. 2
Ge3OsW: PBEsol geometry, SCAN.

**Space group**: No. 221
**Energy**: -38.3691 eV/atom
**Crystal system**: cubic

Unit cell a=4.7115 b=4.7115 c=4.7115 alpha=90.00 beta=90.00 gamma=90.00
Each line ends with the local moment (μB).
Element x y z (fractional)
Ge: 0.0000 0.5000 0.0000  0.01
Ge: 0.0000 0.0000 0.5000  0.01
Ge: 0.5000 0.0000 0.0000  0.01
Os: 0.0000 0.0000 0.0000  0.24
W: 0.5000 0.5000 0.5000  2.95



No. 3
Y5Ge10Os4: PBEsol geometry, SCAN.

**Space group**: No. 127
**Energy**: -33.1966 eV/atom
**Crystal system**: tetragonal

Unit cell a=4.2715 b=12.9568 c=12.9568 alpha=90.00 beta=90.00 gamma=90.00
Element x y z (fractional)
Y: 0.0000 0.5000 0.5000
Y: 0.0000 0.0000 0.0000
Y: 0.5000 0.6727 0.1727
Y: 0.5000 0.3273 0.8273
Y: 0.5000 0.1727 0.3273
Y: 0.5000 0.8273 0.6727
Y: 0.5000 0.8826 0.3826
Y: 0.5000 0.1174 0.6174
Y: 0.5000 0.3826 0.1174
Y: 0.5000 0.6174 0.8826
Ge: 0.0000 0.5677 0.0677
Ge: 0.0000 0.4323 0.9323
Ge: 0.0000 0.0677 0.4323
Ge: 0.0000 0.9323 0.5677
Ge: 0.0000 0.6641 0.6982
Ge: 0.0000 0.3359 0.3018
Ge: 0.0000 0.1641 0.8018
Ge: 0.0000 0.8359 0.1982
Ge: 0.0000 0.3018 0.6641
Ge: 0.0000 0.6982 0.3359
Ge: 0.0000 0.1982 0.1641
Ge: 0.0000 0.8018 0.8359
Ge: 0.5000 0.6579 0.5071
Ge: 0.5000 0.3421 0.4929
Ge: 0.5000 0.1579 0.9929
Ge: 0.5000 0.8421 0.0071
Ge: 0.5000 0.4929 0.6579
Ge: 0.5000 0.5071 0.3421
Ge: 0.5000 0.0071 0.1579
Ge: 0.5000 0.9929 0.8421
Os: 0.0000 0.7473 0.5187
Os: 0.0000 0.2527 0.4813
Os: 0.0000 0.2473 0.9813
Os: 0.0000 0.7527 0.0187
Os: 0.0000 0.4813 0.7473
Os: 0.0000 0.5187 0.2527
Os: 0.0000 0.0187 0.2473
Os: 0.0000 0.9813 0.7527



Values for DOS at the Fermi energy, states/eV/f.u., ordered as above
9.5, 2.1, 10.1